VASP calculation (PBE) on a relaxed structure of LiTlCu2Pb.

Cell: 4.9337 4.9604 4.9337 Å, 90.00 90.00 90.00°
Fractional positions:
Pb1 0.5000 0.5000 0.5000
Tl1 0.0000 0.0000 0.0000
Cu1 0.5000 0.0000 0.0000
Cu2 0.0000 0.0000 0.5000
Li1 0.0000 0.5000 0.0000

Calculated values
The density of states at the Fermi level is 0.297 states/eV/atom. The density is 7.5 g/cm³. As for the total energy: -13.725 eV for the cell shown. The formation energy comes out at 0.491 eV per atom.



VASP calculation (PBE) on a relaxed structure of Ba3CePm2Te6.

Cell: 8.0737 8.0737 8.3414 Å, 99.29 99.29 119.94°
Each line ends with the local moment (μB).
Fractional positions:
Te1 0.9255 0.5904 0.7764  -0.01
Te2 0.2606 0.2606 0.7768  -0.01
Te3 0.7394 0.7394 0.2232  -0.01
Te4 0.0745 0.4096 0.2236  -0.01
Te5 0.4096 0.0745 0.2236  -0.01
Te6 0.5904 0.9255 0.7764  -0.01
Ba1 0.8336 0.1664 0.5000  0.01
Ba2 0.1664 0.8336 0.5000  0.01
Ba3 0.5000 0.5000 0.5000  0.01
Pm1 0.3335 0.6665 0.0000  0.05
Pm2 0.6665 0.3335 0.0000  0.05
Ce1 0.0000 0.0000 0.0000  1.08

Calculated values
The density of states at the Fermi level is 1.031 states/eV/atom. The density is 6.0 g/cm³. As for the total energy: -58.726 eV for the cell shown. The uncorrected formation energy comes out at -1.5560 eV/atom.



VASP calculation (PBE) on a relaxed structure of SmTlAgS2.

Cell: 6.0033 6.2290 7.7462 Å, 104.49 90.00 90.00°
Fractional positions:
S1 0.6897 0.2562 0.5582
S2 0.6897 0.7438 0.9418
S3 0.3103 0.2562 0.0582
S4 0.3103 0.7438 0.4418
Sm1 0.5108 0.0000 0.2500
Sm2 0.4892 0.0000 0.7500
Tl1 0.8201 0.5000 0.2500
Tl2 0.1799 0.5000 0.7500
Ag1 0.0000 0.0000 0.0000
Ag2 0.0000 0.0000 0.5000

Calculated values
The density of states at the Fermi level is 0.319 states/eV/atom. The density is 6.2 g/cm³. As for the total energy: -44.407 eV for the cell shown. The uncorrected formation energy comes out at -0.8024 eV/atom.



VASP calculation (PBE) on a relaxed structure of Sr3LiRh.

Cell: 6.4130 6.4130 12.8929 Å, 75.60 75.60 90.00°
Each line ends with the local moment (μB).
Fractional positions:
Sr1 0.1095 0.8681 0.2637  -0.01
Sr2 0.6268 0.8681 0.2637  -0.01
Sr3 0.1319 0.8905 0.7363  -0.01
Sr4 0.7186 0.7186 0.5628  -0.01
Sr5 0.2814 0.2814 0.4372  -0.01
Sr6 0.1319 0.3733 0.7363  -0.01
Li1 0.0000 0.0000 0.0000  0.00
Li2 0.2500 0.7500 0.5000  0.00
Rh1 0.6988 0.1988 0.6023  0.27
Rh2 0.8012 0.3012 0.3977  0.28

Calculated values
The offset from the most stable computed form is 786 meV per atom. The density of states at the Fermi level is 0.967 states/eV/atom. The density is 2.5 g/cm³. As for the total energy: -22.232 eV for the cell shown. The formation energy comes out at 0.639 eV per atom.



VASP calculation (PBE) on a relaxed structure of KY2Cu2S4.

Cell: 3.6412 7.6414 7.4657 Å, 115.90 90.00 103.78°
Fractional positions:
Cu1 0.3076 0.6151 0.9703
Cu2 0.6924 0.3849 0.0297
S1 0.2177 0.4354 0.2662
S2 0.4590 0.9180 0.2743
S3 0.5410 0.0820 0.7257
S4 0.7823 0.5646 0.7338
K1 0.0000 0.0000 0.0000
Y1 0.8737 0.7473 0.4416
Y2 0.1263 0.2527 0.5584

Calculated values
The density of states at the Fermi level is 0.375 states/eV/atom. The density is 4.4 g/cm³. As for the total energy: -49.054 eV for the cell shown. The uncorrected formation energy comes out at -1.1474 eV/atom.



VASP calculation (PBE) on a relaxed structure of RbLi2Cr.

Cell: 5.5905 5.5905 5.5905 Å, 60.00 60.00 60.00°
Each line ends with the local moment (μB).
Fractional positions:
Li1 0.7500 0.7500 0.7500  0.00
Li2 0.2500 0.2500 0.2500  0.00
Rb1 0.5000 0.5000 0.5000  0.01
Cr1 0.0000 0.0000 0.0000  4.14

Calculated values
The offset from the most stable computed form is 0 meV per atom. The density of states at the Fermi level is 0.652 states/eV/atom. The density is 2.0 g/cm³. As for the total energy: -11.548 eV for the cell shown. The formation energy comes out at 0.718 eV per atom.